A plane-wave DFT calculation with PBEsol was carried out for a relaxed TiGePCl2 crystal.

Summary:
The value obtained for the total energy is -21.7 eV for the cell shown. The density is 3.4 Mg/m³. The calculation puts the density of states at the Fermi level at 6.740 states/eV per cell.

a = 4.711 Å, b = 4.711 Å, c = 4.879 Å
α = 90.00°, β = 90.00°, γ = 90.00°
Space group P4/mmm (No. 123)
Unique sites:
Ti: 0.000 0.000 0.000 (multiplicity 1)
Ge: 0.500 0.500 0.500 (multiplicity 1)
P: 0.500 0.500 0.000 (multiplicity 1)
Cl: 0.000 0.500 0.500 (multiplicity 2)